Record 1
KLaPt | Alexandria | GGA-PBEsol | relaxed; ΔH_f (0 K) = -366 meV per atom; V = 100.9 Å³/cell; space-group type = I4mm (107); total energy = -0.3562 Ry per atom
1.0
3.714 0.000 0.000
0.000 3.714 0.000
-1.857 -1.857 7.314
La K Pt
1 1 1
Direct
0.723 0.723 0.446
0.970 0.970 0.940
0.307 0.307 0.614



Record 2
Ir2RhSe | Alexandria | GGA-PBEsol | relaxed; formation energy without anion corrections = 391 meV/atom; V = 59.2 Å³/cell; space-group type = P2/m (10); total energy = -0.5526 Ry per atom
1.0
-2.623 -0.264 -0.965
-1.110 -2.230 3.770
-1.158 4.031 2.044
Se Ir Rh
1 2 1
Direct
0.500 0.000 0.500
0.755 0.748 0.000
0.245 0.252 0.000
0.000 0.500 0.500



Record 3
ScB2Ir3 | Alexandria | GGA-PBEsol | relaxed; ΔH_f (0 K) = -625 meV per atom; V = 76.7 Å³/cell; space-group type = P6/mmm (191); total energy = -0.6597 Ry per atom
1.0
3.053 0.000 0.000
0.000 5.385 0.000
0.000 -2.692 4.664
Sc B Ir
1 2 3
Direct
0.000 0.000 0.000
0.000 0.667 0.333
0.000 0.333 0.667
0.500 0.500 0.500
0.500 0.500 0.000
0.500 0.000 0.500



Record 4
LaIn5Ir | Alexandria | GGA-PBEsol | relaxed; ΔH_f (0 K) = -446 meV per atom; V = 163.9 Å³/cell; space-group type = P4/mmm (123); total energy = -0.3486 Ry per atom
1.0
-2.194 -2.156 3.514
-2.414 -2.555 -3.075
5.379 -5.249 0.138
In La Ir
5 1 1
Direct
0.000 0.500 0.695
0.500 0.000 0.695
0.500 0.000 0.305
0.500 0.500 0.000
0.000 0.500 0.305
0.000 0.000 0.000
0.000 0.000 0.500



Record 5
Cu2ReSe | Alexandria | GGA-PBEsol | relaxed; formation energy without anion corrections = 516 meV/atom; V = 53.9 Å³/cell; space-group type = Immm (71); total energy = -0.4370 Ry per atom
1.0
2.915 0.000 0.000
0.000 4.225 0.000
-1.458 -2.112 4.375
Cu Re Se
2 1 1
Direct
0.262 0.262 0.524
0.738 0.738 0.476
0.500 0.000 0.000
0.000 0.500 0.000



Record 6
FeIr5 | Alexandria | GGA-PBEsol | relaxed; ΔH_f (0 K) = -10 meV per atom; V = 81.4 Å³/cell; space-group type = P4/mmm (123); total energy = -0.7122 Ry per atom
1.0
2.697 0.000 0.000
0.000 2.697 0.000
0.000 0.000 11.194
Ir Fe
5 1
Direct
0.000 0.000 0.844
0.500 0.500 0.671
0.500 0.500 0.329
0.000 0.000 0.500
0.000 0.000 0.156
0.500 0.500 0.000



Record 7
CsLaFe3 | Alexandria | GGA-PBEsol | relaxed; ΔH_f (0 K) = 1779 meV per atom; V = 136.3 Å³/cell; space-group type = Pm-3m (221); total energy = -0.3570 Ry per atom
1.0
-3.151 4.022 -0.609
-3.748 -3.170 -1.542
-1.581 -0.500 4.871
Fe Cs La
3 1 1
Direct
0.500 0.000 0.000
0.000 0.000 0.500
0.000 0.500 0.000
0.500 0.500 0.500
0.000 0.000 0.000



Record 8
LaTi6O12 | Alexandria | GGA-PBEsol | relaxed; formation energy without anion corrections = -3056 meV/atom; V = 424.3 Å³/cell; space-group type = C2/m (12); total energy = -0.6821 Ry per atom
1.0
-7.126 1.288 -3.403
0.208 -6.688 4.386
1.748 6.020 5.704
O Ti La
24 12 2
Direct
0.208 0.532 0.408
0.129 0.802 0.931
0.464 0.132 0.596
0.155 0.167 0.665
0.885 0.212 0.757
0.533 0.869 0.067
0.115 0.788 0.243
0.876 0.201 0.408
0.545 0.872 0.757
0.467 0.131 0.933
0.799 0.457 0.255
0.198 0.534 0.067
0.821 0.836 0.657
0.502 0.491 0.335
0.455 0.128 0.243
0.845 0.833 0.335
0.792 0.468 0.592
0.536 0.868 0.404
0.124 0.799 0.592
0.179 0.164 0.343
0.871 0.198 0.069
0.802 0.466 0.933
0.498 0.509 0.665
0.201 0.543 0.745
0.184 0.360 0.544
0.010 0.499 0.181
0.160 0.977 0.467
0.816 0.640 0.456
0.319 0.830 0.819
0.990 0.501 0.819
0.339 0.837 0.176
0.661 0.163 0.824
0.510 0.693 0.533
0.840 0.023 0.533
0.490 0.307 0.467
0.681 0.170 0.181
0.223 0.223 0.000
0.777 0.777 0.000



Record 9
BaTiI6O18 | Alexandria | GGA-PBEsol | relaxed; formation energy without anion corrections = -907 meV/atom; V = 396.9 Å³/cell; space-group type = R3 (146); total energy = -0.3934 Ry per atom
1.0
7.428 -0.011 -0.013
-1.016 7.359 -0.013
-1.016 -1.164 7.266
I O Ba Ti
6 18 1 1
Direct
0.844 0.198 0.617
0.382 0.159 0.787
0.787 0.382 0.159
0.198 0.617 0.844
0.159 0.787 0.382
0.617 0.844 0.198
0.100 0.583 0.204
0.570 0.595 0.188
0.943 0.202 0.171
0.202 0.171 0.943
0.583 0.204 0.100
0.791 0.892 0.412
0.204 0.100 0.583
0.808 0.431 0.409
0.829 0.041 0.792
0.409 0.808 0.431
0.412 0.791 0.892
0.595 0.188 0.570
0.171 0.943 0.202
0.792 0.829 0.041
0.188 0.570 0.595
0.431 0.409 0.808
0.041 0.792 0.829
0.892 0.412 0.791
0.658 0.658 0.658
0.013 0.013 0.013



Record 10
KCuHg2 | Alexandria | GGA-PBEsol | relaxed; ΔH_f (0 K) = 58 meV per atom; V = 102.2 Å³/cell; energy relative to the lowest polymorph listed for this composition = 0 meV/atom; space-group type = P4mm (99); total energy = -0.1170 Ry per atom
1.0
3.628 0.000 0.000
0.000 3.628 0.000
0.000 0.000 7.766
K Hg Cu
1 2 1
Direct
0.000 0.000 0.506
0.500 0.500 0.206
0.000 0.000 0.923
0.500 0.500 0.865



Record 11
CsRb3Pd | Alexandria | GGA-PBEsol | relaxed; ΔH_f (0 K) = 168 meV per atom; V = 304.2 Å³/cell; space-group type = Pm-3m (221); total energy = -0.1343 Ry per atom
1.0
-5.789 -3.366 0.624
3.286 -5.808 -0.842
0.960 -0.420 6.644
Rb Pd Cs
3 1 1
Direct
0.000 0.000 0.500
0.500 0.000 0.000
0.000 0.500 0.000
0.000 0.000 0.000
0.500 0.500 0.500



Record 12
Cu2POs | Alexandria | GGA-PBEsol | relaxed; ΔH_f (0 K) = 242 meV per atom; V = 50.4 Å³/cell; space-group type = Cmmm (65); total energy = -0.4724 Ry per atom
1.0
2.826 0.000 0.000
0.000 4.470 0.021
0.000 -2.038 3.979
Cu Os P
2 1 1
Direct
0.000 0.500 0.000
0.000 0.000 0.500
0.500 0.000 0.000
0.500 0.500 0.500



Record 13
CsTa2AsIr | Alexandria | GGA-PBEsol | relaxed; ΔH_f (0 K) = 3230 meV per atom; V = 122.2 Å³/cell; space-group type = P4/mmm (123); total energy = -0.3649 Ry per atom
1.0
-2.126 -4.344 0.183
4.243 -2.145 -1.628
1.542 -0.555 4.750
Cs Ta As Ir
1 2 1 1
Direct
0.000 0.000 0.000
0.000 0.500 0.000
0.000 0.000 0.500
0.500 0.500 0.500
0.500 0.000 0.000



Record 14
Li2In2Pd | Alexandria | GGA-PBEsol | relaxed; ΔH_f (0 K) = -59 meV per atom; V = 86.9 Å³/cell; space-group type = I4/mmm (139); total energy = -0.2374 Ry per atom
1.0
4.890 0.000 0.000
0.000 4.890 0.000
-2.445 -2.445 3.634
Li In Pd
2 2 1
Direct
0.350 0.350 0.701
0.650 0.650 0.299
0.250 0.750 0.500
0.750 0.250 0.500
0.000 0.000 0.000



Record 15
SrNi2BiPd | Alexandria | GGA-PBEsol | relaxed; ΔH_f (0 K) = 616 meV per atom; V = 116.8 Å³/cell; space-group type = P4/mmm (123); total energy = -0.3134 Ry per atom
1.0
-2.238 -2.083 -3.595
2.395 -3.983 0.817
-3.771 -1.596 3.272
Ni Bi Sr Pd
2 1 1 1
Direct
0.000 0.500 0.000
0.500 0.000 0.000
0.500 0.500 0.500
0.000 0.000 0.500
0.000 0.000 0.000



Record 16
SrScAg | Alexandria | GGA-PBEsol | relaxed; ΔH_f (0 K) = 178 meV per atom; V = 93.6 Å³/cell; energy relative to the lowest polymorph listed for this composition = 0 meV/atom; space-group type = P3m1 (156); total energy = -0.2750 Ry per atom
1.0
-2.515 -2.402 2.120
4.030 -0.504 0.298
0.159 4.214 4.963
Ag Sc Sr
1 1 1
Direct
0.000 0.000 0.957
0.333 0.667 0.757
0.667 0.333 0.287



Record 17
HfScTl3 | Alexandria | GGA-PBEsol | relaxed; ΔH_f (0 K) = 640 meV per atom; V = 156.2 Å³/cell; space-group type = Pm-3m (221); total energy = -0.3204 Ry per atom
1.0
-4.121 2.655 -2.229
-1.700 -4.565 -2.295
-3.021 -1.052 4.332
Sc Tl Hf
1 3 1
Direct
0.500 0.500 0.500
0.000 0.500 0.000
0.500 0.000 0.000
0.000 0.000 0.500
0.000 0.000 0.000



Record 18
TiCrCuS4 | Alexandria | GGA-PBEsol | relaxed; formation energy without anion corrections = -885 meV/atom; V = 110.3 Å³/cell; energy relative to the lowest polymorph listed for this composition = 45 meV/atom; space-group type = Cm (8); total energy = -0.4896 Ry per atom
1.0
-2.748 -0.921 -1.748
1.852 -5.497 -0.017
-2.278 2.208 5.695
S Cr Ti Cu
4 1 1 1
Direct
0.866 0.537 0.732
0.382 0.042 0.764
0.617 0.950 0.234
0.137 0.482 0.273
0.755 0.777 0.510
0.246 0.215 0.491
0.498 0.498 0.996



Record 19
MnSb2Se | Alexandria | GGA-PBEsol | relaxed; formation energy without anion corrections = 110 meV/atom; V = 89.9 Å³/cell; space-group type = Imm2 (44); total energy = -0.4095 Ry per atom
1.0
3.154 0.000 0.000
0.000 4.980 0.000
-1.577 -2.490 5.726
Mn Sb Se
1 2 1
Direct
0.232 0.732 0.463
0.761 0.261 0.523
0.932 0.932 0.864
0.575 0.575 0.150



Record 20
Sb2IrRu | Alexandria | GGA-PBEsol | relaxed; formation energy without anion corrections = 233 meV/atom; V = 69.2 Å³/cell; energy relative to the lowest polymorph listed for this composition = 196 meV/atom; space-group type = I4/mmm (139); total energy = -0.5177 Ry per atom
1.0
4.428 0.000 0.000
-2.214 4.168 -0.003
0.000 2.354 3.750
Sb Ru Ir
2 1 1
Direct
0.250 0.500 0.250
0.750 0.500 0.750
0.000 0.000 0.000
0.500 0.000 0.500